Entry 1:
A plane-wave DFT calculation with GGA-PBEsol was carried out for an optimized crystal structure of MnNb2FeSe.

Cell lengths 4.224, 4.608, 4.608 Å; angles 90.00, 90.00, 90.00 degrees
Element x y z (fractional)
1 Mn 0.500 0.500 0.500
2 Nb 0.000 0.500 0.000
3 Nb 0.000 0.000 0.500
4 Se 0.500 0.000 0.000
5 Fe 0.000 0.000 0.000

## Properties
The uncorrected energy comes out at -39.94 eV per cell. The value obtained for the formation energy (no corrections) is 0.86 eV/atom. As for the symmetry: P4/mmm, No. 123.

Entry 2:
A plane-wave DFT calculation with GGA-PBEsol was carried out for an optimized crystal structure of MnNb2FeSi.

Cell lengths 4.106, 4.514, 4.514 Å; angles 90.00, 90.00, 90.00 degrees
Element x y z (fractional)
1 Mn 0.500 0.000 0.000
2 Nb 0.000 0.500 0.000
3 Si 0.500 0.500 0.500
4 Nb 0.000 0.000 0.500
5 Fe 0.000 0.000 0.000

## Properties
The uncorrected energy comes out at -42.39 eV per cell. The value obtained for the formation energy (no corrections) is 0.74 eV/atom. As for the symmetry: P4/mmm, No. 123.

Entry 3:
A plane-wave DFT calculation with GGA-PBEsol was carried out for an optimized crystal structure of MnNb2FeW.

Cell lengths 4.387, 4.830, 4.830 Å; angles 90.00, 90.00, 90.00 degrees
Element x y z (fractional)
1 Mn 0.500 0.500 0.500
2 Fe 0.500 0.000 0.000
3 Nb 0.000 0.000 0.500
4 Nb 0.000 0.500 0.000
5 W 0.000 0.000 0.000

## Properties
The uncorrected energy comes out at -45.84 eV per cell. As for the symmetry: P4/mmm, No. 123.